The following is a PBE calculation of a relaxed TbTm2Pb3 crystal, from Alexandria via LeMat-Bulk. Values from VASP.

## Properties
electronic total energy	-54.31	eV/cell
Fermi-level density of states	0.48	states/eV/atom
ΔE_f	-409	meV per atom
total magnetic moment	0.0	μB/f.u.

```
&SYSTEM
  ibrav = 0, nat = 12, ntyp = 3
/
ATOMIC_SPECIES
Tb 158.93 Tb.upf
Pb 207.20 Pb.upf
Tm 168.93 Tm.upf
CELL_PARAMETERS angstrom
4.7900 0.0000 0.0000
0.0000 7.0407 0.0000
0.0000 0.0000 10.1982
ATOMIC_POSITIONS crystal
Tb 0.0000 0.9087 0.9380
Tb 0.0000 0.4087 0.0620
Pb 0.0000 0.9082 0.6067
Pb 0.5000 0.6822 0.1587
Pb 0.0000 0.4082 0.3933
Pb 0.5000 0.6355 0.8407
Pb 0.5000 0.1355 0.1593
Pb 0.5000 0.1822 0.8413
Tm 0.0000 0.9085 0.2888
Tm 0.0000 0.4085 0.7112
Tm 0.5000 0.1582 0.5003
Tm 0.5000 0.6582 0.4997
```